No. 1
Compound: Pu2ICl3
Source: the Alexandria database
Functional: PBE-GGA
Structure: optimized geometry

Formation energy (no corrections) in eV/atom: -1.5748
Total magnetization in μB/f.u.: 12.00
Crystal system: monoclinic

Cell lengths 17.906, 4.200, 13.842 Å; angles 90.00, 127.91, 90.00 degrees
Space group C2/m (No. 12)
Unique sites:
Pu 0.118 0.000 0.426 [4 per cell]
Pu 0.137 0.500 0.872 [4 per cell]
I 0.100 0.000 0.674 [4 per cell]
Cl 0.059 0.500 0.253 [4 per cell]
Cl 0.170 0.000 0.028 [4 per cell]
Cl 0.231 0.500 0.591 [4 per cell]

---

No. 2
Compound: PuICl3
Source: the Alexandria database
Functional: PBE-GGA
Structure: optimized geometry

Formation energy (no corrections) in eV/atom: -1.4405
Total magnetization in μB/f.u.: 4.00
Crystal system: orthorhombic
Offset from the most stable computed form in meV/atom: 4.0

Cell lengths 10.062, 9.633, 8.247 Å; angles 90.00, 90.00, 90.00 degrees
Space group Cmcm (No. 63)
Unique sites:
Pu 0.000 0.004 0.250 [4 per cell]
I 0.000 0.298 0.750 [4 per cell]
Cl 0.000 0.262 0.250 [4 per cell]
Cl 0.173 0.000 0.000 [8 per cell]

---

No. 3
Compound: Pu3I3Cl5
Source: the Alexandria database
Functional: PBE-GGA
Structure: optimized geometry

Formation energy (no corrections) in eV/atom: -1.5645
Total magnetization in μB/f.u.: 16.00
Crystal system: hexagonal

Cell lengths 8.7688, 8.7688, 6.1860 Å; angles 90.00, 90.00, 120.00 degrees
Space group P-62m (No. 189)
Unique sites:
Pu 0.0000 0.6420 0.0000 [3 per cell]
I 0.0000 0.6250 0.5000 [3 per cell]
Cl 0.0000 0.2560 0.0000 [3 per cell]
Cl 0.3333 0.6667 0.0000 [2 per cell]

---

No. 4
Compound: Rb2PuI4Cl2
Source: the Alexandria database
Functional: PBE-GGA
Structure: optimized geometry

Formation energy (no corrections) in eV/atom: -1.3866
Total magnetization in μB/f.u.: 4.00
Crystal system: monoclinic

Cell lengths 13.496, 8.460, 6.929 Å; angles 90.00, 101.83, 90.00 degrees
Space group C2/m (No. 12)
Unique sites:
Rb 0.168 0.000 0.278 [4 per cell]
Pu 0.000 0.500 0.000 [2 per cell]
I 0.097 0.245 0.797 [8 per cell]
Cl 0.156 0.500 0.288 [4 per cell]